Entry from Alexandria: a relaxed La2ZnCo crystal (GGA-PBE).

Summary:
Its density of states at the Fermi level is 1.06 states/eV per atom. The value obtained for the final energy is -4.53 eV per atom. The calculation puts the energy of formation at 25 meV/atom.

abc: 3.411 3.410 8.382
angles: 90.00 90.00 90.00
Positions (direct):
Co 0.500 0.500 0.693
Zn 0.000 0.000 0.566
La 0.000 0.000 0.916
La 0.500 0.500 0.325

---

Entry from Alexandria: a relaxed La2MgAl3Cd4 crystal (GGA-PBE).

Summary:
Its density of states at the Fermi level is 0.50 states/eV per atom. The value obtained for the final energy is -2.94 eV per atom. The calculation puts the energy of formation at -302 meV/atom.

abc: 4.546 4.546 11.603
angles: 90.00 90.00 90.00
Positions (direct):
Cd 0.500 0.000 0.639
Al 0.000 0.500 0.137
La 0.000 0.500 0.760
Al 0.000 0.000 0.500
Al 0.500 0.000 0.863
Cd 0.500 0.500 0.000
Cd 0.000 0.000 0.000
La 0.500 0.000 0.240
Mg 0.500 0.500 0.500
Cd 0.000 0.500 0.361

---

Entry from Alexandria: a relaxed YMgAl3 crystal (GGA-PBE).

Summary:
Its density of states at the Fermi level is 1.19 states/eV per atom. The value obtained for the final energy is -2.82 eV per atom. The calculation puts the energy of formation at 1040 meV/atom.

abc: 5.493 5.493 5.493
angles: 90.00 90.00 90.00
Positions (direct):
Y 0.000 0.000 0.000
Al 0.500 0.000 0.000
Mg 0.500 0.500 0.500
Al 0.000 0.500 0.000
Al 0.000 0.000 0.500

---

Entry from Alexandria: a relaxed Ac3TlIrPd crystal (GGA-PBE).

Summary:
Its density of states at the Fermi level is 0.63 states/eV per atom. The value obtained for the final energy is -5.40 eV per atom. The calculation puts the energy of formation at -605 meV/atom.

abc: 4.403 8.926 11.104
angles: 110.91 90.00 90.00
Positions (direct):
Ac 0.250 0.584 0.888
Ac 0.750 0.416 0.112
Ac 0.250 0.090 0.776
Pd 0.750 0.947 0.555
Ir 0.750 0.332 0.828
Tl 0.250 0.249 0.282
Tl 0.750 0.751 0.718
Ac 0.750 0.310 0.555
Ir 0.250 0.668 0.172
Pd 0.250 0.053 0.445
Ac 0.750 0.910 0.224
Ac 0.250 0.690 0.445

---

Entry from Alexandria: a relaxed LaRu2Pb crystal (GGA-PBE).

Summary:
Its density of states at the Fermi level is 1.85 states/eV per atom. The value obtained for the final energy is -6.59 eV per atom. The calculation puts the energy of formation at 209 meV/atom.

abc: 5.788 5.788 5.788
angles: 139.21 139.21 59.06
Positions (direct):
Ru 0.000 0.000 0.000
La 0.500 0.500 0.000
Ru 0.250 0.750 0.500
Pb 0.750 0.250 0.500

---

Entry from Alexandria: a relaxed YCd3In crystal (GGA-PBE).

Summary:
Its density of states at the Fermi level is 0.61 states/eV per atom. The value obtained for the final energy is -2.16 eV per atom. The calculation puts the energy of formation at 231 meV/atom. As for the offset from the most stable computed form: 457.8 meV/atom.

abc: 5.457 5.457 5.457
angles: 97.19 97.19 97.19
Positions (direct):
Y 0.106 0.106 0.106
Cd 0.304 0.675 0.304
Cd 0.675 0.304 0.304
In 0.736 0.736 0.736
Cd 0.304 0.304 0.675

---

Entry from Alexandria: a relaxed Mg16Al12Sb crystal (GGA-PBE).

Summary:
Its density of states at the Fermi level is 0.35 states/eV per atom. As for the formation energy (no corrections): -0.4 kcal/mol of atoms. The value obtained for the final energy is -2.59 eV per atom. As for the offset from the most stable computed form: 6.7 meV/atom.

abc: 9.084 9.084 9.084
angles: 108.85 108.85 108.85
Positions (direct):
Mg 0.999 0.679 0.403
Mg 0.679 0.403 0.999
Mg 0.651 0.001 0.001
Al 0.179 0.990 0.365
Al 0.817 0.817 0.185
Sb 0.338 0.338 0.338
Al 0.990 0.365 0.179
Al 0.830 0.641 0.641
Al 0.185 0.817 0.817
Al 0.817 0.185 0.817
Mg 0.605 0.296 0.605
Mg 0.315 0.709 0.315
Al 0.641 0.641 0.830
Mg 0.999 0.403 0.679
Mg 0.605 0.605 0.296
Mg 0.001 0.651 0.001
Al 0.179 0.365 0.990
Mg 0.001 0.001 0.651
Al 0.990 0.179 0.365
Al 0.641 0.830 0.641
Mg 0.679 0.999 0.403
Mg 0.403 0.679 0.999
Al 0.365 0.990 0.179
Mg 0.296 0.605 0.605
Mg 0.315 0.315 0.709
Al 0.365 0.179 0.990
Mg 0.709 0.315 0.315
Mg 0.403 0.999 0.679
Mg 0.002 0.002 0.002

---

Entry from Alexandria: a relaxed CaAcGa2 crystal (GGA-PBE).

Summary:
Its density of states at the Fermi level is 0.65 states/eV per atom. The value obtained for the final energy is -3.48 eV per atom. The calculation puts the energy of formation at -437 meV/atom.

abc: 3.815 3.815 7.577
angles: 90.00 90.00 90.00
Positions (direct):
Ca 0.500 0.500 0.000
Ga 0.000 0.000 0.224
Ga 0.000 0.000 0.776
Ac 0.500 0.500 0.500